[1]
An optimized crystal structure of NpTi2Tc. Source: Alexandria via LeMat-Bulk, functional GGA-PBE.

The structure belongs to space group P4/mmm (No. 123); the cell edges are 3.0715, 3.0715 and 7.3815 Å and the angles 90.00°, 90.00° and 90.00°. The asymmetric unit holds Np at (0.0000, 0.0000, 0.0000), Ti at (0.5000, 0.5000, 0.2943) and Tc at (0.0000, 0.0000, 0.5000).

As for the formation energy: -0.061 eV/atom.



[2]
An optimized crystal structure of NpTiTc. Source: Alexandria via LeMat-Bulk, functional GGA-PBE.

The structure belongs to space group Cmcm (No. 63); the cell edges are 3.1033, 14.2503 and 4.5386 Å and the angles 90.00°, 90.00° and 90.00°. The asymmetric unit holds Np at (0.0000, 0.2373, 0.2500), Ti at (0.0000, 0.0724, 0.7500) and Tc at (0.0000, 0.4222, 0.7500).

As for the formation energy: -0.138 eV/atom.



[3]
An optimized crystal structure of NpTiZnTc. Source: Alexandria via LeMat-Bulk, functional GGA-PBE.

The structure belongs to space group F-43m (No. 216); the cell edges are 6.5814, 6.5814 and 6.5814 Å and the angles 90.00°, 90.00° and 90.00°. The asymmetric unit holds Np at (0.0000, 0.0000, 0.0000), Ti at (0.0000, 0.0000, 0.5000), Zn at (0.2500, 0.2500, 0.7500) and Tc at (0.2500, 0.2500, 0.2500).

As for the formation energy: 0.132 eV/atom.



[4]
An optimized crystal structure of Np2TlTc. Source: Alexandria via LeMat-Bulk, functional GGA-PBE.

The structure belongs to space group P4/mmm (No. 123); the cell edges are 3.7441, 3.7441 and 6.3623 Å and the angles 90.00°, 90.00° and 90.00°. The asymmetric unit holds Np at (0.0000, 0.0000, 0.2064), Tl at (0.5000, 0.5000, 0.5000) and Tc at (0.5000, 0.5000, 0.0000).

As for the formation energy: 0.400 eV/atom.